Record 1
The following is a DFT calculation (PBE-GGA) of crystalline CrSbCl2 at its relaxed geometry.

Computed properties:
Space-group type   Cmmm
Formation energy without anion corrections   -0.092 eV/atom
Energy above the most stable polymorph in this dataset   310 meV/atom

```
4
Lattice="-0.091 -3.871 1.864 0.124 -2.007 -4.163 4.605 -0.213 -0.219" Properties=species:S:1:pos:R:3 pbc="T T T"
Sb 3.501 -3.601 -2.354
Cl 0.105 -0.049 -0.097
Cl 2.260 -1.061 -2.094
Cr 1.137 -2.491 -0.164
```

Record 2
The following is a DFT calculation (PBE-GGA) of crystalline PmSm3Y4 at its relaxed geometry.

Computed properties:
Space-group type   Pmn2_1
ΔE_f   0.017 eV per atom
Energy above the most stable polymorph in this dataset   0 meV/atom

```
16
Lattice="6.344 0.000 0.000 0.000 7.345 0.000 0.000 0.000 11.509" Properties=species:S:1:pos:R:3 pbc="T T T"
Pm 0.947 2.748 0.000
Pm 4.120 4.597 5.755
Sm 4.118 4.593 0.000
Sm 6.214 4.595 2.877
Sm 3.042 2.750 2.877
Sm 0.946 2.752 5.755
Sm 3.042 2.750 8.632
Sm 6.214 4.595 8.632
Y 0.930 6.433 0.000
Y 4.103 0.907 0.000
Y 6.232 0.909 2.880
Y 3.060 6.436 2.875
Y 0.931 6.438 5.755
Y 4.103 0.912 5.755
Y 3.060 6.436 8.635
Y 6.232 0.909 8.629
```

Record 3
The following is a DFT calculation (PBE-GGA) of crystalline BaTl2InBi2 at its relaxed geometry.

Computed properties:
Space-group type   Pmc2_1
ΔE_f   -0.311 eV per atom

```
12
Lattice="4.966 0.000 0.000 0.000 8.510 0.000 0.000 0.000 10.317" Properties=species:S:1:pos:R:3 pbc="T T T"
Ba 0.000 8.447 4.214
Ba 0.000 4.192 6.103
Tl 2.483 0.382 0.672
Tl 0.000 2.905 1.772
Tl 2.483 4.637 9.644
Tl 0.000 7.160 8.544
In 2.483 1.302 7.070
In 2.483 5.556 3.247
Bi 0.000 1.873 8.882
Bi 2.483 2.499 4.066
Bi 0.000 6.128 1.435
Bi 2.483 6.753 6.250
```

Computed values of calculated volume (unit: Å³/atom) for the preceding records, in sequence: 22.8, 33.5, 36.3.